A geometry-optimized CsCeMn2F8 structure. Source: the Alexandria database, functional PBE with a Hubbard U.

Results
Total moment, μB/f.u.: 9.00
Crystal system: trigonal
DFT total energy, eV/atom: -6.084

Lattice parameters (Å, degrees): 6.2067 6.2067 8.4493 90.00 90.00 120.00
With the nearest neighbours (Å) after each atom.
Space group P-3m1 (No. 164)
Inequivalent atoms, fractional coordinates:
Cs 0.0000 0.0000 0.0000 (multiplicity 1)  12 F 3.25-3.59
Ce 0.0000 0.0000 0.5000 (multiplicity 1)  6 F 2.30
Mn 0.3333 0.6667 0.2162 (multiplicity 2)  4 F 1.94-2.04
F 0.1634 0.3268 0.3238 (multiplicity 6)  1 Mn 2.04
F 0.3333 0.6667 0.9864 (multiplicity 2)  1 Mn 1.94